{"formula": "MgAl2Pd8", "functional": "GGA-PBE", "state": "optimized geometry", "lattice_angstrom": [[3.594, -5.671, 0.000], [3.594, 5.671, 0.000], [-1.707, 0.000, 4.275]], "species": ["Mg", "Al", "Al", "Pd", "Pd", "Pd", "Pd", "Pd", "Pd", "Pd", "Pd"], "frac_coords": [[0.000, 0.000, 0.000], [0.310, 0.690, 0.500], [0.690, 0.310, 0.500], [0.087, 0.327, 0.606], [0.228, 0.772, 0.000], [0.327, 0.087, 0.606], [0.391, 0.391, 0.186], [0.609, 0.609, 0.814], [0.673, 0.913, 0.394], [0.772, 0.228, 0.000], [0.913, 0.673, 0.394]], "spacegroup": "C2/m (12)", "e_above_lowest_polymorph_ev_per_fu": 0.82, "formation_enthalpy_0k_kj_per_mol_atoms": -50.5, "dft_energy_ev_per_cell": -56.38, "magmom_total_mub_per_cell": 0.00}


{"formula": "Pr12Sn6Pd", "functional": "GGA-PBE", "state": "optimized geometry", "lattice_angstrom": [[6.851, 3.955, 4.257], [-6.851, 3.955, 4.257], [0.000, -7.911, 4.257]], "species": ["Pr", "Pr", "Pr", "Pr", "Pr", "Pr", "Pr", "Pr", "Pr", "Pr", "Pr", "Pr", "Sn", "Sn", "Sn", "Sn", "Sn", "Sn", "Pd"], "frac_coords": [[0.019, 0.678, 0.944], [0.056, 0.981, 0.322], [0.192, 0.427, 0.564], [0.322, 0.056, 0.981], [0.427, 0.564, 0.192], [0.436, 0.808, 0.573], [0.564, 0.192, 0.427], [0.573, 0.436, 0.808], [0.678, 0.944, 0.019], [0.808, 0.573, 0.436], [0.944, 0.019, 0.678], [0.981, 0.322, 0.056], [0.123, 0.639, 0.309], [0.309, 0.123, 0.639], [0.361, 0.691, 0.877], [0.639, 0.309, 0.123], [0.691, 0.877, 0.361], [0.877, 0.361, 0.691], [0.000, 0.000, 0.000]], "spacegroup": "R-3 (148)", "formation_enthalpy_0k_kj_per_mol_atoms": -40.1, "dft_energy_ev_per_cell": -94.47, "magmom_total_mub_per_cell": 0.00}


{"formula": "InTcNi2", "functional": "GGA-PBE", "state": "optimized geometry", "lattice_angstrom": [[6.129, 0.000, 0.000], [0.000, 6.129, 0.000], [0.000, 0.000, 6.129]], "species": ["In", "In", "In", "In", "Tc", "Tc", "Tc", "Tc", "Ni", "Ni", "Ni", "Ni", "Ni", "Ni", "Ni", "Ni"], "frac_coords": [[0.000, 0.000, 0.000], [0.000, 0.500, 0.500], [0.500, 0.000, 0.500], [0.500, 0.500, 0.000], [0.250, 0.250, 0.250], [0.250, 0.750, 0.750], [0.750, 0.250, 0.750], [0.750, 0.750, 0.250], [0.000, 0.000, 0.500], [0.000, 0.500, 0.000], [0.250, 0.250, 0.750], [0.250, 0.750, 0.250], [0.500, 0.000, 0.000], [0.500, 0.500, 0.500], [0.750, 0.250, 0.250], [0.750, 0.750, 0.750]], "spacegroup": "F-43m (216)", "formation_enthalpy_0k_kj_per_mol_atoms": 26.0, "dft_energy_ev_per_cell": -94.35, "magmom_total_mub_per_cell": 7.33}


{"formula": "CdFe3I12", "functional": "GGA-PBE", "state": "optimized geometry", "lattice_angstrom": [[15.392, 0.000, 0.000], [-7.696, 13.329, 0.000], [0.000, 0.000, 7.807]], "species": ["Cd", "Cd", "Fe", "Fe", "Fe", "Fe", "Fe", "Fe", "I", "I", "I", "I", "I", "I", "I", "I", "I", "I", "I", "I", "I", "I", "I", "I", "I", "I", "I", "I", "I", "I", "I", "I"], "frac_coords": [[0.333, 0.667, 0.250], [0.667, 0.333, 0.750], [0.128, 0.701, 0.750], [0.299, 0.427, 0.750], [0.427, 0.128, 0.250], [0.573, 0.872, 0.750], [0.701, 0.573, 0.250], [0.872, 0.299, 0.250], [0.015, 0.515, 0.750], [0.035, 0.796, 0.750], [0.204, 0.240, 0.750], [0.235, 0.479, 0.014], [0.235, 0.479, 0.486], [0.240, 0.035, 0.250], [0.244, 0.765, 0.014], [0.244, 0.765, 0.486], [0.479, 0.244, 0.514], [0.479, 0.244, 0.986], [0.485, 0.500, 0.750], [0.500, 0.015, 0.250], [0.500, 0.985, 0.750], [0.515, 0.500, 0.250], [0.521, 0.756, 0.014], [0.521, 0.756, 0.486], [0.756, 0.235, 0.514], [0.756, 0.235, 0.986], [0.760, 0.965, 0.750], [0.765, 0.521, 0.514], [0.765, 0.521, 0.986], [0.796, 0.760, 0.250], [0.965, 0.204, 0.250], [0.985, 0.485, 0.250]], "spacegroup": "P6_3/m (176)", "formation_energy_uncorrected_mev_per_atom": -145, "dft_energy_ev_per_cell": -94.44, "magmom_total_mub_per_cell": 27.87}


{"formula": "Mo2PAu", "functional": "GGA-PBE", "state": "optimized geometry", "lattice_angstrom": [[2.919, 0.000, 0.000], [-1.460, 2.528, 0.000], [0.000, 0.000, 26.656]], "species": ["Mo", "Mo", "Mo", "Mo", "Mo", "Mo", "P", "P", "P", "Au", "Au", "Au"], "frac_coords": [[0.000, 0.000, 0.000], [0.000, 0.000, 0.248], [0.333, 0.667, 0.667], [0.333, 0.667, 0.915], [0.667, 0.333, 0.333], [0.667, 0.333, 0.582], [0.000, 0.000, 0.733], [0.333, 0.667, 0.400], [0.667, 0.333, 0.066], [0.000, 0.000, 0.493], [0.333, 0.667, 0.160], [0.667, 0.333, 0.826]], "spacegroup": "R3m (160)", "formation_enthalpy_0k_kj_per_mol_atoms": 17.1, "dft_energy_ev_per_cell": -88.92, "magmom_total_mub_per_cell": 0.00}


{"formula": "KCeSb2", "functional": "GGA-PBE", "state": "optimized geometry", "lattice_angstrom": [[4.739, 0.000, 0.000], [-2.370, 4.104, 0.000], [0.000, 0.000, 23.509]], "species": ["K", "K", "K", "Ce", "Ce", "Ce", "Sb", "Sb", "Sb", "Sb", "Sb", "Sb"], "frac_coords": [[0.000, 0.000, 0.000], [0.333, 0.667, 0.667], [0.667, 0.333, 0.333], [0.000, 0.000, 0.500], [0.333, 0.667, 0.167], [0.667, 0.333, 0.833], [0.000, 0.000, 0.230], [0.000, 0.000, 0.770], [0.333, 0.667, 0.436], [0.333, 0.667, 0.897], [0.667, 0.333, 0.103], [0.667, 0.333, 0.564]], "spacegroup": "R-3m (166)", "e_above_lowest_polymorph_ev_per_fu": 0.45, "formation_energy_uncorrected_mev_per_atom": -545, "dft_energy_ev_per_cell": -52.37, "magmom_total_mub_per_cell": 1.16}


{"formula": "Ti9Nb4Zn11", "functional": "GGA-PBE", "state": "optimized geometry", "lattice_angstrom": [[6.998, -9.541, 0.000], [6.998, 9.541, 0.000], [0.000, 0.000, 2.861]], "species": ["Ti", "Ti", "Ti", "Ti", "Ti", "Ti", "Ti", "Ti", "Ti", "Nb", "Nb", "Nb", "Nb", "Zn", "Zn", "Zn", "Zn", "Zn", "Zn", "Zn", "Zn", "Zn", "Zn", "Zn"], "frac_coords": [[0.000, 0.000, 0.000], [0.103, 0.662, 0.000], [0.299, 0.495, 0.000], [0.338, 0.897, 0.000], [0.495, 0.299, 0.000], [0.505, 0.701, 0.000], [0.662, 0.103, 0.000], [0.701, 0.505, 0.000], [0.897, 0.338, 0.000], [0.095, 0.246, 0.000], [0.246, 0.095, 0.000], [0.754, 0.905, 0.000], [0.905, 0.754, 0.000], [0.094, 0.458, 0.500], [0.125, 0.875, 0.500], [0.306, 0.306, 0.500], [0.306, 0.694, 0.500], [0.458, 0.094, 0.500], [0.500, 0.500, 0.500], [0.542, 0.906, 0.500], [0.694, 0.306, 0.500], [0.694, 0.694, 0.500], [0.875, 0.125, 0.500], [0.906, 0.542, 0.500]], "spacegroup": "Cmmm (65)", "formation_enthalpy_0k_kj_per_mol_atoms": -10.4, "dft_energy_ev_per_cell": -127.94, "magmom_total_mub_per_cell": 0.00}


{"formula": "KTaCl2", "functional": "GGA-PBE", "state": "optimized geometry", "lattice_angstrom": [[12.208, 0.000, 0.000], [0.000, 3.160, 0.000], [-2.133, 0.000, 5.813]], "species": ["K", "K", "Ta", "Ta", "Cl", "Cl", "Cl", "Cl"], "frac_coords": [[0.000, 0.000, 0.000], [0.500, 0.500, 0.000], [0.248, 0.000, 0.535], [0.748, 0.500, 0.535], [0.162, 0.500, 0.742], [0.358, 0.500, 0.377], [0.662, 0.000, 0.742], [0.858, 0.000, 0.377]], "spacegroup": "Cm (8)", "e_above_lowest_polymorph_ev_per_fu": 0.31, "formation_energy_uncorrected_mev_per_atom": -352, "dft_energy_ev_per_cell": -36.10, "magmom_total_mub_per_cell": 2.13}